GGA+U K2MnCuF6, optimized geometry; SG = I4/mmm; DOS(E_F) = 0.239 states/eV per atom; E = -4.942 eV/atom
1.0
-2.9408 2.9408 4.1479
2.9408 -2.9408 4.1479
2.9408 2.9408 -4.1479
K Mn Cu F
2 1 1 6
direct
0.2500 0.7500 0.5000
0.7500 0.2500 0.5000
0.0000 0.0000 0.0000
0.5000 0.5000 0.0000
0.2498 0.2498 0.4997
0.2498 0.7502 0.0000
0.2511 0.2511 0.0000
0.7489 0.7489 0.0000
0.7502 0.2498 0.0000
0.7502 0.7502 0.5003